Here is a relaxed structure of NaCaMg4 from Alexandria. Energies are from PBE-GGA.

Summary:
E_form = -0.0021 eV/atom
crystal system = cubic
total magnetization = 0.00 Bohr magnetons per cell
space group = F-43m, No. 216

a = 6.199 Å, b = 6.199 Å, c = 6.199 Å
α = 60.00°, β = 60.00°, γ = 60.00°
Positions (direct):
Na (0.000, 0.000, 0.000)
Ca (0.750, 0.750, 0.750)
Mg (0.375, 0.375, 0.375)
Mg (0.375, 0.375, 0.874)
Mg (0.375, 0.874, 0.375)
Mg (0.874, 0.375, 0.375)